1.
# CaAgSb2Te

A crystal of CaAgSb2Te relaxed with PBEsol (SCAN, Alexandria).

```
CaAgSb2Te
1.0
5.5858 0.0000 0.0000
0.0000 5.6129 0.0000
0.0000 0.0000 5.6129
Te Ca Sb Ag
1 1 2 1
direct
0.5000 0.0000 0.0000 Te
0.0000 0.0000 0.0000 Ca
0.0000 0.5000 0.0000 Sb
0.0000 0.0000 0.5000 Sb
0.5000 0.5000 0.5000 Ag
```

Symmetry = No. 123
Crystal system = tetragonal
ΔE_f (raw) = 0.67 eV per atom

---

2.
# CaMg4Ag

A crystal of CaMg4Ag relaxed with PBEsol (SCAN, Alexandria).

```
CaMg4Ag
1.0
5.8493 0.0000 0.0000
2.9246 5.0656 0.0000
2.9246 1.6885 4.7759
Mg Ca Ag
4 1 1
direct
0.3757 0.8729 0.3757 Mg
0.8729 0.3757 0.3757 Mg
0.3757 0.3757 0.3757 Mg
0.3757 0.3757 0.8729 Mg
0.0000 0.0000 0.0000 Ca
0.7500 0.7500 0.7500 Ag
```

Symmetry = No. 216
Crystal system = cubic
Formation energy from the elements = 0.03 eV/atom

---

| no. | size of the total moment (μB/f.u.) | total energy (eV/atom) |
| --- | --- | --- |
| 1 | 0.00 | -29.8884 |
| 2 | 0.00 | -10.1203 |